# NbCr2FeO6 | the Alexandria database | GGA+U | relaxed
# * total magnetization: 11.0 μB per cell
# * E: -80.2 eV for the cell shown
data_NbCr2FeO6
_chemical_formula_sum 'Nb1 Cr2 Fe1 O6'
_cell_length_a 5.175
_cell_length_b 5.305
_cell_length_c 5.534
_cell_angle_alpha 64.25
_cell_angle_beta 88.44
_cell_angle_gamma 60.90
_symmetry_space_group_name_H-M 'P 1'
_symmetry_Int_Tables_number 1
loop_
_symmetry_equiv_pos_as_xyz
'x,y,z'
loop_
_atom_site_label
_atom_site_fract_x
_atom_site_fract_y
_atom_site_fract_z
Nb1 0.000 0.000 0.000
Cr1 0.213 0.583 0.605
Cr2 0.699 0.607 0.081
Fe1 0.474 0.042 0.457
O1 0.072 0.530 0.284
O2 0.306 0.803 0.803
O3 0.401 0.788 0.293
O4 0.651 0.055 0.815
O5 0.774 0.151 0.267
O6 0.941 0.439 0.828